No. 1
# AcTb6Y2Ho, optimized geometry, DFT PBE
data_AcTb6Y2Ho
_symmetry_space_group_name_H-M 'C 1 2/c 1'
_symmetry_Int_Tables_number 15
_symmetry_space_group_name_Hall '-C 2yc'
_cell_length_a 9.361
_cell_length_b 15.202
_cell_length_c 9.500
_cell_angle_alpha 90.00
_cell_angle_beta 94.30
_cell_angle_gamma 90.00
loop_
_atom_site_label
_atom_site_fract_x
_atom_site_fract_y
_atom_site_fract_z
_atom_site_occupancy
Ac1 0.000 0.035 0.250 1
Tb1 0.060 0.185 0.942 1
Tb2 0.097 0.385 0.115 1
Tb3 0.220 0.229 0.319 1
Y1 0.240 0.446 0.449 1
Ho1 0.000 0.412 0.750 1
# D(E_F): 60.1 states/eV/cell
# Calculated volume: 1348.2 Å³ per cell
# E_form: 0.1310 eV/atom

No. 2
# CrTe3Au, optimized geometry, DFT PBE
data_CrTe3Au
_symmetry_space_group_name_H-M 'P m -3 m'
_symmetry_Int_Tables_number 221
_symmetry_space_group_name_Hall '-P 4 2 3'
_cell_length_a 5.055
_cell_length_b 5.055
_cell_length_c 5.055
_cell_angle_alpha 90.00
_cell_angle_beta 90.00
_cell_angle_gamma 90.00
loop_
_atom_site_label
_atom_site_fract_x
_atom_site_fract_y
_atom_site_fract_z
_atom_site_occupancy
Cr1 0.000 0.000 0.000 1
Te1 0.000 0.000 0.500 1
Au1 0.500 0.500 0.500 1
# D(E_F): 5.3 states/eV/cell
# Calculated volume: 129.2 Å³ per cell
# E above lowest polymorph: 0.678 eV per atom
# Formation energy without anion corrections: 2.9 eV per formula unit

No. 3
# Li2PuThTe4, optimized geometry, DFT PBE
data_Li2PuThTe4
_symmetry_space_group_name_H-M 'P 1 2/m 1'
_symmetry_Int_Tables_number 10
_symmetry_space_group_name_Hall '-P 2y'
_cell_length_a 7.538
_cell_length_b 4.415
_cell_length_c 7.630
_cell_angle_alpha 90.00
_cell_angle_beta 109.65
_cell_angle_gamma 90.00
loop_
_atom_site_label
_atom_site_fract_x
_atom_site_fract_y
_atom_site_fract_z
_atom_site_occupancy
Li1 0.000 0.000 0.000 1
Li2 0.000 0.500 0.500 1
Pu1 0.500 0.000 0.500 1
Th1 0.500 0.500 0.000 1
Te1 0.235 0.000 0.747 1
Te2 0.239 0.500 0.245 1
# D(E_F): 14.9 states/eV/cell
# Calculated volume: 239.1 Å³ per cell
# Formation energy without anion corrections: -8.6 eV per formula unit

Q: What is the formula in the second record?
A: CrTe3Au